# 1
{
  "formula": "PWCl2",
  "functional": "PBE",
  "state": "relaxed",
  "e_form_raw_ev_per_atom": 0.3989,
  "polymorph_energy_ev_per_atom": 0.7146,
  "spacegroup": "R-3m (166)",
  "m_tot_mub_per_fu": 0.24,
  "cell": [[3.024, 0.000, 0.000], [-1.512, 2.619, 0.000], [0.000, 0.000, 30.805]],
  "species": ["P", "P", "P", "W", "W", "W", "Cl", "Cl", "Cl", "Cl", "Cl", "Cl"],
  "fractional_positions": [[0.000, 0.000, 0.000], [0.333, 0.667, 0.667], [0.667, 0.333, 0.333], [0.000, 0.000, 0.500], [0.333, 0.667, 0.167], [0.667, 0.333, 0.833], [0.000, 0.000, 0.224], [0.000, 0.000, 0.776], [0.333, 0.667, 0.442], [0.333, 0.667, 0.891], [0.667, 0.333, 0.109], [0.667, 0.333, 0.558]]
}

---

# 2
{
  "formula": "PW2Cl",
  "functional": "PBE",
  "state": "relaxed",
  "e_form_raw_ev_per_atom": 0.7434,
  "polymorph_energy_ev_per_atom": 0.8126,
  "spacegroup": "C2/m (12)",
  "m_tot_mub_per_fu": 0.00,
  "cell": [[5.856, 0.000, 0.000], [0.000, 8.279, 0.000], [-0.826, 0.000, 2.631]],
  "species": ["P", "P", "W", "W", "W", "W", "Cl", "Cl"],
  "fractional_positions": [[0.000, 0.000, 0.000], [0.500, 0.500, 0.000], [0.250, 0.250, 0.000], [0.250, 0.750, 0.000], [0.750, 0.250, 0.000], [0.750, 0.750, 0.000], [0.000, 0.500, 0.000], [0.500, 0.000, 0.000]]
}

---

# 3
{
  "formula": "PWCl9",
  "functional": "PBE",
  "state": "relaxed",
  "e_form_raw_ev_per_atom": -0.7971,
  "spacegroup": "P-1 (2)",
  "m_tot_mub_per_fu": 0.00,
  "cell": [[6.858, 0.000, 0.000], [-0.335, 10.629, 0.000], [-2.844, -3.639, 10.945]],
  "species": ["P", "P", "W", "W", "Cl", "Cl", "Cl", "Cl", "Cl", "Cl", "Cl", "Cl", "Cl", "Cl", "Cl", "Cl", "Cl", "Cl", "Cl", "Cl", "Cl", "Cl"],
  "fractional_positions": [[0.096, 0.213, 0.324], [0.904, 0.787, 0.676], [0.428, 0.237, 0.789], [0.572, 0.763, 0.211], [0.066, 0.840, 0.857], [0.113, 0.125, 0.680], [0.118, 0.700, 0.590], [0.256, 0.652, 0.104], [0.276, 0.380, 0.337], [0.311, 0.433, 0.773], [0.336, 0.271, 0.969], [0.455, 0.960, 0.195], [0.479, 0.800, 0.392], [0.521, 0.200, 0.608], [0.545, 0.040, 0.805], [0.664, 0.729, 0.031], [0.689, 0.567, 0.227], [0.724, 0.620, 0.663], [0.744, 0.348, 0.896], [0.882, 0.300, 0.410], [0.887, 0.875, 0.320], [0.934, 0.160, 0.143]]
}

---

# 4
{
  "formula": "PW2Cl",
  "functional": "PBE",
  "state": "relaxed",
  "e_form_raw_ev_per_atom": 0.2516,
  "polymorph_energy_ev_per_atom": 0.3208,
  "spacegroup": "Pmmm (47)",
  "m_tot_mub_per_fu": 0.00,
  "cell": [[3.125, 0.000, 0.000], [0.000, 3.176, 0.000], [0.000, 0.000, 6.820]],
  "species": ["P", "W", "W", "Cl"],
  "fractional_positions": [[0.000, 0.000, 0.000], [0.500, 0.500, 0.180], [0.500, 0.500, 0.820], [0.500, 0.000, 0.500]]
}

---

# 5
{
  "formula": "PWCl2",
  "functional": "PBE",
  "state": "relaxed",
  "e_form_raw_ev_per_atom": 0.7692,
  "polymorph_energy_ev_per_atom": 1.0850,
  "spacegroup": "I-4m2 (119)",
  "m_tot_mub_per_fu": 0.63,
  "cell": [[4.344, 0.000, 0.000], [0.000, 4.344, 0.000], [0.000, 0.000, 6.812]],
  "species": ["P", "P", "W", "W", "Cl", "Cl", "Cl", "Cl"],
  "fractional_positions": [[0.000, 0.000, 0.000], [0.500, 0.500, 0.500], [0.000, 0.500, 0.750], [0.500, 0.000, 0.250], [0.000, 0.000, 0.500], [0.000, 0.500, 0.250], [0.500, 0.000, 0.750], [0.500, 0.500, 0.000]]
}

---

# 6
{
  "formula": "PWCl3",
  "functional": "PBE",
  "state": "relaxed",
  "e_form_raw_ev_per_atom": 1.1649,
  "polymorph_energy_ev_per_atom": 0.6171,
  "spacegroup": "Pm-3m (221)",
  "m_tot_mub_per_fu": 5.09,
  "cell": [[4.896, 0.000, 0.000], [0.000, 4.896, 0.000], [0.000, 0.000, 4.896]],
  "species": ["P", "W", "Cl", "Cl", "Cl"],
  "fractional_positions": [[0.000, 0.000, 0.000], [0.500, 0.500, 0.500], [0.000, 0.000, 0.500], [0.000, 0.500, 0.000], [0.500, 0.000, 0.000]]
}

---

# 7
{
  "formula": "PWCl2",
  "functional": "PBE",
  "state": "relaxed",
  "e_form_raw_ev_per_atom": 0.8101,
  "polymorph_energy_ev_per_atom": 1.1259,
  "spacegroup": "C2/m (12)",
  "m_tot_mub_per_fu": 1.57,
  "cell": [[5.552, 0.000, 0.000], [0.000, 8.806, 0.000], [-1.982, 0.000, 2.799]],
  "species": ["P", "P", "W", "W", "Cl", "Cl", "Cl", "Cl"],
  "fractional_positions": [[0.000, 0.000, 0.000], [0.500, 0.500, 0.000], [0.000, 0.500, 0.000], [0.500, 0.000, 0.000], [0.250, 0.250, 0.500], [0.250, 0.750, 0.500], [0.750, 0.250, 0.500], [0.750, 0.750, 0.500]]
}

---

# 8
{
  "formula": "PWCl2",
  "functional": "PBE",
  "state": "relaxed",
  "e_form_raw_ev_per_atom": -0.0807,
  "polymorph_energy_ev_per_atom": 0.2351,
  "spacegroup": "R3m (160)",
  "m_tot_mub_per_fu": 0.00,
  "cell": [[3.234, 0.000, 0.000], [-1.617, 2.801, 0.000], [0.000, 0.000, 25.888]],
  "species": ["P", "P", "P", "W", "W", "W", "Cl", "Cl", "Cl", "Cl", "Cl", "Cl"],
  "fractional_positions": [[0.000, 0.000, 0.000], [0.333, 0.667, 0.667], [0.667, 0.333, 0.333], [0.000, 0.000, 0.275], [0.333, 0.667, 0.941], [0.667, 0.333, 0.608], [0.000, 0.000, 0.539], [0.000, 0.000, 0.739], [0.333, 0.667, 0.206], [0.333, 0.667, 0.406], [0.667, 0.333, 0.073], [0.667, 0.333, 0.872]]
}

---

# 9
{
  "formula": "PW3Cl",
  "functional": "PBE",
  "state": "relaxed",
  "e_form_raw_ev_per_atom": 1.5324,
  "polymorph_energy_ev_per_atom": 0.0000,
  "spacegroup": "Pm-3m (221)",
  "m_tot_mub_per_fu": 0.00,
  "cell": [[4.531, 0.000, 0.000], [0.000, 4.531, 0.000], [0.000, 0.000, 4.531]],
  "species": ["P", "W", "W", "W", "Cl"],
  "fractional_positions": [[0.000, 0.000, 0.000], [0.000, 0.000, 0.500], [0.000, 0.500, 0.000], [0.500, 0.000, 0.000], [0.500, 0.500, 0.500]]
}

---

# 10
{
  "formula": "PW2Cl",
  "functional": "PBE",
  "state": "relaxed",
  "e_form_raw_ev_per_atom": 0.3973,
  "polymorph_energy_ev_per_atom": 0.4665,
  "spacegroup": "R-3m (166)",
  "m_tot_mub_per_fu": 0.00,
  "cell": [[2.957, 0.000, 0.000], [-1.479, 2.561, 0.000], [0.000, 0.000, 24.070]],
  "species": ["P", "P", "P", "W", "W", "W", "W", "W", "W", "Cl", "Cl", "Cl"],
  "fractional_positions": [[0.000, 0.000, 0.000], [0.333, 0.667, 0.667], [0.667, 0.333, 0.333], [0.000, 0.000, 0.256], [0.000, 0.000, 0.744], [0.333, 0.667, 0.411], [0.333, 0.667, 0.923], [0.667, 0.333, 0.077], [0.667, 0.333, 0.589], [0.000, 0.000, 0.500], [0.333, 0.667, 0.167], [0.667, 0.333, 0.833]]
}

---

# 11
{
  "formula": "PW2Cl",
  "functional": "PBE",
  "state": "relaxed",
  "e_form_raw_ev_per_atom": 0.6077,
  "polymorph_energy_ev_per_atom": 0.6769,
  "spacegroup": "Cmmm (65)",
  "m_tot_mub_per_fu": 0.00,
  "cell": [[3.015, 0.000, 0.000], [0.000, 5.156, 0.000], [0.000, 0.000, 8.188]],
  "species": ["P", "P", "W", "W", "W", "W", "Cl", "Cl"],
  "fractional_positions": [[0.000, 0.000, 0.000], [0.500, 0.500, 0.000], [0.000, 0.500, 0.227], [0.000, 0.500, 0.773], [0.500, 0.000, 0.227], [0.500, 0.000, 0.773], [0.000, 0.000, 0.500], [0.500, 0.500, 0.500]]
}

---

# 12
{
  "formula": "PW2Cl",
  "functional": "PBE",
  "state": "relaxed",
  "e_form_raw_ev_per_atom": 0.7325,
  "polymorph_energy_ev_per_atom": 0.8017,
  "spacegroup": "Immm (71)",
  "m_tot_mub_per_fu": 0.00,
  "cell": [[2.850, 0.000, 0.000], [0.000, 5.599, 0.000], [0.000, 0.000, 8.252]],
  "species": ["P", "P", "W", "W", "W", "W", "Cl", "Cl"],
  "fractional_positions": [[0.000, 0.000, 0.000], [0.500, 0.500, 0.500], [0.000, 0.500, 0.264], [0.000, 0.500, 0.736], [0.500, 0.000, 0.236], [0.500, 0.000, 0.764], [0.000, 0.000, 0.500], [0.500, 0.500, 0.000]]
}